# 1
Entry from the Alexandria database: an optimized crystal structure of CaSi2Rh (GGA-PBE).

Cell: 6.419 6.419 6.419 Å, 90.00 90.00 90.00°
Fractional coordinates of all 16 atoms:
Ca  0.000  0.000  0.000
Ca  0.000  0.500  0.500
Ca  0.500  0.000  0.500
Ca  0.500  0.500  0.000
Si  0.250  0.250  0.250
Si  0.250  0.250  0.750
Si  0.250  0.750  0.250
Si  0.250  0.750  0.750
Si  0.750  0.250  0.250
Si  0.750  0.250  0.750
Si  0.750  0.750  0.250
Si  0.750  0.750  0.750
Rh  0.000  0.000  0.500
Rh  0.000  0.500  0.000
Rh  0.500  0.000  0.000
Rh  0.500  0.500  0.500

Properties
ρ (g cm⁻³): 5.00
Space group: Fm-3m (225)
DOS at the Fermi energy (states/eV/atom): 0.7024
Final energy (Ry per atom): -0.3880
Volume (A^3/atom): 16.53

***

# 2
Entry from the Alexandria database: an optimized crystal structure of HfIr3W (GGA-PBE).

Cell: 4.720 4.720 4.720 Å, 90.00 90.00 90.00°
Fractional coordinates of all 5 atoms:
Hf  0.000  0.000  0.000
Ir  0.000  0.500  0.500
Ir  0.500  0.000  0.500
Ir  0.500  0.500  0.000
W  0.500  0.500  0.500

Properties
ρ (g cm⁻³): 14.83
Space group: Pm-3m (221)
DOS at the Fermi energy (states/eV/atom): 0.8724
Final energy (Ry per atom): -0.6462
Calculated formation energy (eV per atom): 1.11
Volume (A^3/atom): 21.03

***

# 3
Entry from the Alexandria database: an optimized crystal structure of SmHo2Er2Mg2 (GGA-PBE).

Cell: 8.569 8.569 8.569 Å, 36.94 36.94 36.94°
Fractional coordinates of all 7 atoms:
Sm  0.000  0.000  0.000
Ho  0.428  0.428  0.428
Ho  0.572  0.572  0.572
Er  0.155  0.155  0.155
Er  0.845  0.845  0.845
Mg  0.289  0.289  0.289
Mg  0.711  0.711  0.711

Properties
ρ (g cm⁻³): 7.04
Space group: R-3m (166)
DOS at the Fermi energy (states/eV/atom): 1.0350
Final energy (Ry per atom): -0.2772
Calculated formation energy (eV per atom): -0.03
Volume (A^3/atom): 29.08

***

# 4
Entry from the Alexandria database: an optimized crystal structure of MoOs2Cl (GGA-PBE).

Cell: 2.806 4.855 10.030 Å, 90.00 90.00 90.00°
Fractional coordinates of all 8 atoms:
Mo  0.000  0.000  0.000
Mo  0.500  0.500  0.000
Os  0.000  0.000  0.453
Os  0.000  0.500  0.235
Os  0.500  0.000  0.235
Os  0.500  0.500  0.453
Cl  0.000  0.500  0.799
Cl  0.500  0.000  0.799

Properties
ρ (g cm⁻³): 12.44
Space group: Cmm2 (35)
DOS at the Fermi energy (states/eV/atom): 1.2371
Final energy (Ry per atom): -0.5918
Volume (A^3/atom): 17.08

***

# 5
Entry from the Alexandria database: an optimized crystal structure of Ac4In5Pd2 (GGA-PBE).

Cell: 8.086 4.047 10.250 Å, 90.00 94.57 90.00°
Fractional coordinates of all 11 atoms:
Ac  0.173  0.000  0.361
Ac  0.237  0.000  0.943
Ac  0.763  0.000  0.057
Ac  0.827  0.000  0.639
In  0.189  0.500  0.656
In  0.451  0.500  0.191
In  0.500  0.500  0.500
In  0.549  0.500  0.809
In  0.811  0.500  0.344
Pd  0.068  0.500  0.139
Pd  0.932  0.500  0.861

Properties
ρ (g cm⁻³): 8.42
Space group: P2/m (10)
DOS at the Fermi energy (states/eV/atom): 0.6184
Final energy (Ry per atom): -0.3114
Calculated formation energy (eV per atom): -0.55
Volume (A^3/atom): 30.40

***

# 6
Entry from the Alexandria database: an optimized crystal structure of HfPdF2 (GGA-PBE).

Cell: 2.854 2.854 29.821 Å, 90.00 90.00 120.00°
Fractional coordinates of all 12 atoms:
Hf  0.000  0.000  0.000
Hf  0.333  0.667  0.667
Hf  0.667  0.333  0.333
Pd  0.000  0.000  0.500
Pd  0.333  0.667  0.167
Pd  0.667  0.333  0.833
F  0.000  0.000  0.384
F  0.000  0.000  0.616
F  0.333  0.667  0.051
F  0.333  0.667  0.283
F  0.667  0.333  0.717
F  0.667  0.333  0.949

Properties
ρ (g cm⁻³): 7.64
Space group: R-3m (166)
DOS at the Fermi energy (states/eV/atom): 0.6264
Final energy (Ry per atom): -0.4669
Volume (A^3/atom): 17.54

***

# 7
Entry from the Alexandria database: an optimized crystal structure of RbCuHg2I6 (GGA-PBE).

Cell: 8.275 8.280 8.362 Å, 81.28 71.32 60.27°
Fractional coordinates of all 10 atoms:
Rb  0.000  0.000  0.000
Cu  0.461  0.353  0.618
Hg  0.264  0.278  0.295
Hg  0.779  0.676  0.634
I  0.117  0.363  0.723
I  0.306  0.937  0.271
I  0.470  0.586  0.782
I  0.545  0.376  0.288
I  0.708  0.027  0.717
I  0.912  0.606  0.266

Properties
ρ (g cm⁻³): 4.62
Space group: P1 (1)
Final energy (Ry per atom): -0.1465
Volume (A^3/atom): 47.13

***

# 8
Entry from the Alexandria database: an optimized crystal structure of Tl3AuS (GGA-PBE).

Cell: 7.394 4.481 10.562 Å, 90.00 102.02 90.00°
Fractional coordinates of all 10 atoms:
Tl  0.035  0.250  0.153
Tl  0.249  0.750  0.498
Tl  0.451  0.750  0.848
Tl  0.549  0.250  0.152
Tl  0.751  0.250  0.502
Tl  0.965  0.750  0.847
Au  0.228  0.250  0.927
Au  0.772  0.750  0.073
S  0.352  0.250  0.348
S  0.648  0.750  0.652

Properties
ρ (g cm⁻³): 8.17
Space group: P2_1/m (11)
DOS at the Fermi energy (states/eV/atom): 0.1135
Final energy (Ry per atom): -0.2216
Volume (A^3/atom): 34.23

***

# 9
Entry from the Alexandria database: an optimized crystal structure of ErThMg (GGA-PBE).

Cell: 3.535 3.535 14.109 Å, 90.00 90.00 90.00°
Fractional coordinates of all 6 atoms:
Er  0.000  0.000  0.000
Er  0.500  0.500  0.500
Th  0.000  0.000  0.674
Th  0.500  0.500  0.174
Mg  0.000  0.000  0.343
Mg  0.500  0.500  0.843

Properties
ρ (g cm⁻³): 7.98
Space group: I4mm (107)
DOS at the Fermi energy (states/eV/atom): 0.8892
Final energy (Ry per atom): -0.3321
Calculated formation energy (eV per atom): 0.01
Volume (A^3/atom): 29.38

***

# 10
Entry from the Alexandria database: an optimized crystal structure of Ga2SnRu2 (GGA-PBE).

Cell: 7.307 7.307 3.045 Å, 90.00 90.00 90.00°
Fractional coordinates of all 10 atoms:
Ga  0.126  0.374  0.000
Ga  0.374  0.874  0.000
Ga  0.626  0.126  0.000
Ga  0.874  0.626  0.000
Sn  0.000  0.000  0.000
Sn  0.500  0.500  0.000
Ru  0.170  0.670  0.500
Ru  0.330  0.170  0.500
Ru  0.670  0.830  0.500
Ru  0.830  0.330  0.500

Properties
ρ (g cm⁻³): 9.40
Space group: P4/mbm (127)
DOS at the Fermi energy (states/eV/atom): 0.9533
Final energy (Ry per atom): -0.4211
Calculated formation energy (eV per atom): -0.01
Volume (A^3/atom): 16.26

***

# 11
Entry from the Alexandria database: an optimized crystal structure of LaAs2AuSe (GGA-PBE).

Cell: 5.772 5.772 5.623 Å, 90.00 90.00 90.00°
Fractional coordinates of all 5 atoms:
La  0.000  0.000  0.000
As  0.000  0.500  0.000
As  0.500  0.000  0.000
Au  0.500  0.500  0.500
Se  0.000  0.000  0.500

Properties
ρ (g cm⁻³): 5.01
Space group: P4/mmm (123)
DOS at the Fermi energy (states/eV/atom): 1.1203
Final energy (Ry per atom): -0.2615
Volume (A^3/atom): 37.47

***

# 12
Entry from the Alexandria database: an optimized crystal structure of SiBr3 (GGA-PBE).

Cell: 3.782 3.782 32.898 Å, 90.00 90.00 120.00°
Fractional coordinates of all 12 atoms:
Si  0.000  0.000  0.000
Si  0.333  0.667  0.667
Si  0.667  0.333  0.333
Br  0.000  0.000  0.383
Br  0.000  0.000  0.500
Br  0.000  0.000  0.617
Br  0.333  0.667  0.050
Br  0.333  0.667  0.167
Br  0.333  0.667  0.284
Br  0.667  0.333  0.716
Br  0.667  0.333  0.833
Br  0.667  0.333  0.950

Properties
ρ (g cm⁻³): 3.27
Space group: R-3m (166)
DOS at the Fermi energy (states/eV/atom): 0.7461
Final energy (Ry per atom): -0.1907
Volume (A^3/atom): 33.96

***

Number 1: total magnetic moment 0.00 Bohr magnetons per cell. Number 2: total magnetic moment 0.00 Bohr magnetons per cell. Number 3: total magnetic moment 0.00 Bohr magnetons per cell. Number 4: total magnetic moment 0.17 Bohr magnetons per cell. Number 5: total magnetic moment 0.00 Bohr magnetons per cell. Number 6: total magnetic moment 0.84 Bohr magnetons per cell. Number 7: total magnetic moment 0.00 Bohr magnetons per cell. Number 8: total magnetic moment 0.00 Bohr magnetons per cell. Number 9: total magnetic moment 0.00 Bohr magnetons per cell. Number 10: total magnetic moment 0.00 Bohr magnetons per cell. Number 11: total magnetic moment 0.94 Bohr magnetons per cell. Number 12: total magnetic moment 2.50 Bohr magnetons per cell.